## YRh2Cl (PBE-GGA)

Data for a relaxed structure of YRh2Cl.

POSCAR file:
```
YRh2Cl
1.0
3.283 0.000 0.000
0.000 4.296 0.000
0.000 0.000 5.330
Y Rh Cl
1 2 1
direct
0.000 0.000 0.000
0.500 0.500 0.248
0.500 0.500 0.752
0.000 0.000 0.500
```

Properties
formation energy without anion corrections = -0.255 eV/atom
Fermi-level density of states = 0.9916 states/eV per atom
polymorph energy (0 for the lowest one) = 295.1 meV/atom
space-group type = Pmmm